Entry 1:
{
  "formula": "Y2Al2As",
  "functional": "PBE",
  "state": "optimized geometry",
  "energy_ev_per_atom": -5.53,
  "sg": "No. 127",
  "delta_e_f_ev_per_fu": -2.57,
  "lattice": [[7.1727, 0.0000, 0.0000], [0.0000, 7.1727, 0.0000], [0.0000, 0.0000, 4.4392]],
  "species": ["Y", "Y", "Y", "Y", "As", "As", "Al", "Al", "Al", "Al"],
  "frac_coords": [[0.1692, 0.6692, 0.5000], [0.6692, 0.8308, 0.5000], [0.8308, 0.3308, 0.5000], [0.3308, 0.1692, 0.5000], [0.0000, 0.0000, 0.0000], [0.5000, 0.5000, 0.0000], [0.3704, 0.8704, 0.0000], [0.8704, 0.6296, 0.0000], [0.6296, 0.1296, 0.0000], [0.1296, 0.3704, 0.0000]]
}

Entry 2:
{
  "formula": "YAlAs",
  "functional": "PBE",
  "state": "optimized geometry",
  "energy_ev_per_atom": -5.64,
  "sg": "No. 166",
  "delta_e_f_ev_per_fu": -2.08,
  "lattice": [[-3.5482, 2.2934, 2.0975], [-3.6628, 1.5198, -2.5541], [-6.0807, -5.5361, 1.0704]],
  "species": ["As", "As", "Al", "Al", "Y", "Y"],
  "frac_coords": [[0.2835, 0.2835, 0.1494], [0.7165, 0.7165, 0.8506], [0.1770, 0.1770, 0.4689], [0.8230, 0.8230, 0.5311], [0.4120, 0.4120, 0.7639], [0.5880, 0.5880, 0.2361]]
}

Entry 3:
{
  "formula": "YAlAs2",
  "functional": "PBE",
  "state": "optimized geometry",
  "energy_ev_per_atom": -5.64,
  "sg": "No. 166",
  "delta_e_f_ev_per_fu": -3.05,
  "lattice": [[-6.2213, -2.5378, 1.0455], [-3.7908, -4.3760, 3.5663], [-5.1301, -0.7494, 4.3998]],
  "species": ["Y", "As", "As", "Al"],
  "frac_coords": [[0.2500, 0.2500, 0.2500], [0.0106, 0.0106, 0.0106], [0.4894, 0.4894, 0.4894], [0.7500, 0.7500, 0.7500]]
}

Entry 4:
{
  "formula": "YAlAs3",
  "functional": "PBE",
  "state": "optimized geometry",
  "energy_ev_per_atom": -4.91,
  "sg": "No. 221",
  "polymorph_energy_ev_per_atom": 0.0000,
  "delta_e_f_ev_per_fu": -0.41,
  "lattice": [[4.8636, 0.0000, 0.0000], [0.0000, 4.8636, 0.0000], [0.0000, 0.0000, 4.8636]],
  "species": ["Y", "As", "As", "As", "Al"],
  "frac_coords": [[0.5000, 0.5000, 0.5000], [0.0000, 0.5000, 0.0000], [0.0000, 0.0000, 0.5000], [0.5000, 0.0000, 0.0000], [0.0000, 0.0000, 0.0000]]
}

Entry 5:
{
  "formula": "YAlAs2",
  "functional": "PBE",
  "state": "optimized geometry",
  "energy_ev_per_atom": -4.99,
  "sg": "No. 216",
  "delta_e_f_ev_per_fu": -0.44,
  "lattice": [[-3.6238, -0.8701, 3.2748], [-0.6691, -4.5735, 1.8024], [1.1173, -0.9897, 4.7313]],
  "species": ["Y", "As", "As", "Al"],
  "frac_coords": [[0.7500, 0.7500, 0.7500], [0.0000, 0.0000, 0.0000], [0.2500, 0.2500, 0.2500], [0.5000, 0.5000, 0.5000]]
}

Entry 6:
{
  "formula": "YAlAs2",
  "functional": "PBE",
  "state": "optimized geometry",
  "energy_ev_per_atom": -5.40,
  "sg": "No. 71",
  "delta_e_f_ev_per_fu": -2.09,
  "lattice": [[5.1596, -0.0046, -0.0048], [0.6342, 5.1205, 0.0048], [-2.1286, -3.4281, 3.2154]],
  "species": ["Y", "As", "As", "Al"],
  "frac_coords": [[0.7500, 0.2500, 0.5000], [0.0376, 0.0376, 0.0000], [0.4624, 0.4624, 0.0000], [0.2500, 0.7500, 0.5000]]
}